(1)
VASP calculation (PBE-GGA) on Ta2AlB2Os5 after structural relaxation.

As for the formation energy: -0.458 eV/atom.

The structure belongs to space group P4/mbm (No. 127); the cell edges are 9.390, 9.390 and 2.995 Å and the angles 90.00°, 90.00° and 90.00°. The distinct sites, in fractional coordinates, are Ta at (0.178, 0.322, 0.000), Al at (0.000, 0.000, 0.000), B at (0.125, 0.625, 0.000), Os at (0.000, 0.500, 0.500) and Os at (0.068, 0.786, 0.500).

(2)
VASP calculation (PBE-GGA) on PmTeRhO6 after structural relaxation.

The formation energy without anion corrections comes out at -1.690 eV per atom.

The structure belongs to space group P-31c (No. 163); the cell edges are 5.2835, 5.2835 and 10.0963 Å and the angles 90.00°, 90.00° and 120.00°. The distinct sites, in fractional coordinates, are Pm at (0.0000, 0.0000, 0.0000), Te at (0.3333, 0.6667, 0.2500), Rh at (0.3333, 0.6667, 0.7500) and O at (0.0114, 0.3665, 0.1418).

(3)
VASP calculation (PBE-GGA) on LiCr2Ru after structural relaxation.

As for the formation energy: 0.396 eV/atom.

The structure belongs to space group P4/mmm (No. 123); the cell edges are 4.208, 4.208 and 2.919 Å and the angles 90.00°, 90.00° and 90.00°. The distinct sites, in fractional coordinates, are Li at (0.000, 0.000, 0.000), Cr at (0.000, 0.500, 0.500) and Ru at (0.500, 0.500, 0.000).

(4)
VASP calculation (PBE-GGA) on Ca4CdIn2Hg after structural relaxation.

As for the formation energy: -0.474 eV/atom.

The structure belongs to space group R-3m (No. 166, hexagonal axes); the cell edges are 5.4300, 5.4300 and 26.5685 Å and the angles 90.00°, 90.00° and 120.00°. The distinct sites, in fractional coordinates, are Ca at (0.0000, 0.0000, 0.1236), Ca at (0.0000, 0.0000, 0.3737), Cd at (0.0000, 0.0000, 0.5000), In at (0.0000, 0.0000, 0.2479) and Hg at (0.0000, 0.0000, 0.0000).

(5)
VASP calculation (PBE-GGA) on NiB4 after structural relaxation.

As for the formation energy: 0.049 eV/atom.

The structure belongs to space group Cm (No. 8); the cell edges are 6.608, 2.926 and 4.551 Å and the angles 90.00°, 115.79° and 90.00°. The distinct sites, in fractional coordinates, are Ni at (0.000, 0.000, 0.000), B at (0.245, 0.000, 0.848), B at (0.343, 0.000, 0.574), B at (0.380, 0.000, 0.247) and B at (0.491, 0.500, 0.496).

(6)
VASP calculation (PBE-GGA) on YAgTe2N after structural relaxation.

The formation energy without anion corrections comes out at 0.358 eV per atom. Its energy above the lowest structure with this stoichiometry is 0.012 eV/atom.

The structure belongs to space group P4/mmm (No. 123); the cell edges are 6.115, 6.115 and 4.040 Å and the angles 90.00°, 90.00° and 90.00°. The distinct sites, in fractional coordinates, are Y at (0.000, 0.000, 0.000), Ag at (0.500, 0.500, 0.500), Te at (0.000, 0.500, 0.000) and N at (0.000, 0.000, 0.500).

(7)
VASP calculation (PBE-GGA) on CeNdBr2 after structural relaxation.

The formation energy without anion corrections comes out at -1.038 eV per atom.

The structure belongs to space group R-3m (No. 166, hexagonal axes); the cell edges are 3.7525, 3.7525 and 30.8872 Å and the angles 90.00°, 90.00° and 120.00°. The distinct sites, in fractional coordinates, are Ce at (0.0000, 0.0000, 0.0000), Nd at (0.0000, 0.0000, 0.5000) and Br at (0.0000, 0.0000, 0.4031).

(8)
VASP calculation (PBE-GGA) on PuIn2 after structural relaxation.

As for the formation energy: -0.124 eV/atom.

The structure belongs to space group Pmmm (No. 47); the cell edges are 3.188, 4.784 and 10.086 Å and the angles 90.00°, 90.00° and 90.00°. The distinct sites, in fractional coordinates, are Pu at (0.000, 0.000, 0.167), In at (0.000, 0.000, 0.500), In at (0.500, 0.500, 0.000) and In at (0.500, 0.500, 0.336).

(9)
VASP calculation (PBE-GGA) on Na2CaH after structural relaxation.

Its energy above the lowest structure with this stoichiometry is 0.486 eV/atom.

The structure belongs to space group Fm-3m (No. 225); the cell edges are 7.863, 7.863 and 7.863 Å and the angles 90.00°, 90.00° and 90.00°. The distinct sites, in fractional coordinates, are Na at (0.250, 0.250, 0.250), Ca at (0.000, 0.000, 0.000) and H at (0.000, 0.000, 0.500).

(10)
VASP calculation (PBE-GGA) on LiVSiTe2 after structural relaxation.

The formation energy without anion corrections comes out at 0.597 eV per atom.

The structure belongs to space group P4/mmm (No. 123); the cell edges are 5.226, 5.226 and 4.796 Å and the angles 90.00°, 90.00° and 90.00°. The distinct sites, in fractional coordinates, are Li at (0.000, 0.000, 0.000), V at (0.000, 0.000, 0.500), Si at (0.500, 0.500, 0.000) and Te at (0.000, 0.500, 0.500).

Number 1: N(E_F) 8.42 states/eV/cell. Number 2: N(E_F) 0.00 states/eV/cell. Number 3: N(E_F) 4.69 states/eV/cell. Number 4: N(E_F) 12.77 states/eV/cell. Number 5: N(E_F) 1.18 states/eV/cell. Number 6: N(E_F) 5.12 states/eV/cell. Number 7: N(E_F) 23.19 states/eV/cell. Number 8: N(E_F) 15.87 states/eV/cell. Number 9: N(E_F) 10.33 states/eV/cell. Number 10: N(E_F) 3.55 states/eV/cell.